(1)
VASP calculation (PBE) on an optimized crystal structure of PrDyZn3.

Summary:
SG: Cmcm (63)
Energy of formation from the pure elements: -0.318 eV/atom

a = 13.751 Å, b = 13.751 Å, c = 4.572 Å
α = 90.00°, β = 90.00°, γ = 164.79°
Positions (direct):
1 Pr 0.074 0.926 0.750
2 Pr 0.926 0.074 0.250
3 Dy 0.210 0.790 0.250
4 Dy 0.790 0.210 0.750
5 Zn 0.325 0.675 0.250
6 Zn 0.379 0.621 0.750
7 Zn 0.476 0.524 0.750
8 Zn 0.524 0.476 0.250
9 Zn 0.621 0.379 0.250
10 Zn 0.675 0.325 0.750



(2)
VASP calculation (PBE) on an optimized crystal structure of Pr2Dy3Zn2.

Summary:
SG: C2/m (12)
Energy of formation from the pure elements: -0.089 eV/atom
Energy above the most stable polymorph in this dataset: 42 meV/atom

a = 6.306 Å, b = 6.306 Å, c = 8.173 Å
α = 115.25°, β = 115.25°, γ = 44.36°
Positions (direct):
1 Pr 0.137 0.137 0.293
2 Pr 0.863 0.863 0.707
3 Dy 0.365 0.365 0.035
4 Dy 0.500 0.500 0.500
5 Dy 0.635 0.635 0.965
6 Zn 0.142 0.142 0.692
7 Zn 0.858 0.858 0.308



(3)
VASP calculation (PBE) on an optimized crystal structure of Pr2Dy3Zn3.

Summary:
SG: Immm (71)
Energy of formation from the pure elements: -0.223 eV/atom

a = 11.425 Å, b = 11.425 Å, c = 11.425 Å
α = 161.49°, β = 153.87°, γ = 32.21°
Positions (direct):
1 Pr 0.227 0.227 0.000
2 Pr 0.773 0.773 0.000
3 Dy 0.000 0.000 0.000
4 Dy 0.386 0.886 0.500
5 Dy 0.614 0.114 0.500
6 Zn 0.110 0.610 0.500
7 Zn 0.500 0.500 0.000
8 Zn 0.890 0.390 0.500



(4)
VASP calculation (PBE) on an optimized crystal structure of PrDy2Zn6.

Summary:
SG: P6/mmm (191)
Energy of formation from the pure elements: -0.360 eV/atom

a = 7.836 Å, b = 7.836 Å, c = 3.540 Å
α = 90.00°, β = 90.00°, γ = 120.00°
Positions (direct):
1 Pr 0.000 0.000 0.000
2 Dy 0.333 0.667 0.000
3 Dy 0.667 0.333 0.000
4 Zn 0.000 0.337 0.500
5 Zn 0.000 0.663 0.500
6 Zn 0.337 0.000 0.500
7 Zn 0.337 0.337 0.500
8 Zn 0.663 0.000 0.500
9 Zn 0.663 0.663 0.500



(5)
VASP calculation (PBE) on an optimized crystal structure of Pr3Dy2Zn2.

Summary:
SG: Cmmm (65)
Energy of formation from the pure elements: -0.080 eV/atom

a = 15.719 Å, b = 15.719 Å, c = 3.620 Å
α = 90.00°, β = 90.00°, γ = 166.64°
Positions (direct):
1 Pr 0.000 0.000 0.000
2 Pr 0.121 0.879 0.000
3 Pr 0.879 0.121 0.000
4 Dy 0.297 0.703 0.500
5 Dy 0.703 0.297 0.500
6 Zn 0.439 0.561 0.500
7 Zn 0.561 0.439 0.500



(6)
VASP calculation (PBE) on an optimized crystal structure of PrDy2Zn2.

Summary:
SG: P2_1/m (11)
Energy of formation from the pure elements: -0.248 eV/atom
Energy above the most stable polymorph in this dataset: 0 meV/atom

a = 3.648 Å, b = 5.260 Å, c = 13.469 Å
α = 90.00°, β = 97.80°, γ = 90.00°
Positions (direct):
1 Pr 0.145 0.250 0.286
2 Pr 0.855 0.750 0.714
3 Dy 0.047 0.750 0.093
4 Dy 0.232 0.750 0.465
5 Dy 0.768 0.250 0.535
6 Dy 0.953 0.250 0.907
7 Zn 0.359 0.250 0.719
8 Zn 0.454 0.750 0.909
9 Zn 0.546 0.250 0.091
10 Zn 0.641 0.750 0.281



(7)
VASP calculation (PBE) on an optimized crystal structure of Pr6DyZn.

Summary:
SG: P-1 (2)
Energy of formation from the pure elements: 0.021 eV/atom

a = 6.476 Å, b = 6.478 Å, c = 6.478 Å
α = 96.03°, β = 96.04°, γ = 96.16°
Positions (direct):
1 Pr 0.047 0.074 0.264
2 Pr 0.236 0.453 0.925
3 Pr 0.426 0.736 0.452
4 Pr 0.574 0.264 0.548
5 Pr 0.764 0.547 0.075
6 Pr 0.953 0.926 0.736
7 Dy 0.500 0.000 0.000
8 Zn 0.000 0.500 0.500



(8)
VASP calculation (PBE) on an optimized crystal structure of Pr3DyZn4.

Summary:
SG: P4/mmm (123)
Energy of formation from the pure elements: -0.305 eV/atom

a = 3.669 Å, b = 3.669 Å, c = 14.771 Å
α = 90.00°, β = 90.00°, γ = 90.00°
Positions (direct):
1 Pr 0.000 0.000 0.000
2 Pr 0.000 0.000 0.256
3 Pr 0.000 0.000 0.744
4 Dy 0.000 0.000 0.500
5 Zn 0.500 0.500 0.126
6 Zn 0.500 0.500 0.388
7 Zn 0.500 0.500 0.612
8 Zn 0.500 0.500 0.874



(9)
VASP calculation (PBE) on an optimized crystal structure of Pr4Dy5Zn.

Summary:
SG: P4/mmm (123)
Energy of formation from the pure elements: -0.054 eV/atom

a = 3.617 Å, b = 3.617 Å, c = 24.135 Å
α = 90.00°, β = 90.00°, γ = 90.00°
Positions (direct):
1 Pr 0.000 0.000 0.106
2 Pr 0.000 0.000 0.319
3 Pr 0.000 0.000 0.681
4 Pr 0.000 0.000 0.894
5 Dy 0.500 0.500 0.000
6 Dy 0.500 0.500 0.213
7 Dy 0.500 0.500 0.428
8 Dy 0.500 0.500 0.572
9 Dy 0.500 0.500 0.787
10 Zn 0.000 0.000 0.500



(10)
VASP calculation (PBE) on an optimized crystal structure of PrDy3Zn8.

Summary:
SG: P3m1 (156)
Energy of formation from the pure elements: -0.312 eV/atom

a = 5.588 Å, b = 5.588 Å, c = 8.692 Å
α = 90.00°, β = 90.00°, γ = 120.00°
Positions (direct):
1 Pr 0.000 0.000 0.000
2 Dy 0.000 0.000 0.389
3 Dy 0.667 0.333 0.507
4 Dy 0.667 0.333 0.893
5 Zn 0.167 0.334 0.692
6 Zn 0.167 0.833 0.692
7 Zn 0.333 0.667 0.445
8 Zn 0.333 0.667 0.949
9 Zn 0.502 0.004 0.201
10 Zn 0.502 0.498 0.201
11 Zn 0.666 0.833 0.692
12 Zn 0.996 0.498 0.201



(11)
VASP calculation (PBE) on an optimized crystal structure of Pr5Dy4Zn.

Summary:
SG: P4/mmm (123)
Energy of formation from the pure elements: -0.042 eV/atom

a = 3.670 Å, b = 3.670 Å, c = 23.964 Å
α = 90.00°, β = 90.00°, γ = 90.00°
Positions (direct):
1 Pr 0.000 0.000 0.000
2 Pr 0.000 0.000 0.210
3 Pr 0.000 0.000 0.422
4 Pr 0.000 0.000 0.578
5 Pr 0.000 0.000 0.790
6 Dy 0.500 0.500 0.105
7 Dy 0.500 0.500 0.315
8 Dy 0.500 0.500 0.685
9 Dy 0.500 0.500 0.895
10 Zn 0.500 0.500 0.500



(12)
VASP calculation (PBE) on an optimized crystal structure of PrDy3Zn.

Summary:
SG: C2/m (12)
Energy of formation from the pure elements: 0.047 eV/atom

a = 7.211 Å, b = 7.211 Å, c = 7.771 Å
α = 117.53°, β = 117.53°, γ = 70.83°
Positions (direct):
1 Pr 0.050 0.050 0.303
2 Pr 0.950 0.950 0.697
3 Dy 0.114 0.519 0.288
4 Dy 0.421 0.421 0.732
5 Dy 0.481 0.886 0.712
6 Dy 0.519 0.114 0.288
7 Dy 0.579 0.579 0.268
8 Dy 0.886 0.481 0.712
9 Zn 0.274 0.274 0.939
10 Zn 0.726 0.726 0.061



(13)
VASP calculation (PBE) on an optimized crystal structure of Pr3DyZn.

Summary:
SG: C2/m (12)
Energy of formation from the pure elements: 0.056 eV/atom

a = 7.564 Å, b = 7.564 Å, c = 7.951 Å
α = 121.29°, β = 121.29°, γ = 74.62°
Positions (direct):
1 Pr 0.055 0.055 0.326
2 Pr 0.081 0.464 0.244
3 Pr 0.464 0.081 0.244
4 Pr 0.536 0.919 0.756
5 Pr 0.919 0.536 0.756
6 Pr 0.945 0.945 0.674
7 Dy 0.438 0.438 0.737
8 Dy 0.562 0.562 0.263
9 Zn 0.256 0.256 0.881
10 Zn 0.744 0.744 0.119



(14)
VASP calculation (PBE) on an optimized crystal structure of Pr2DyZn.

Summary:
SG: Fm-3m (225)
Energy of formation from the pure elements: 0.031 eV/atom
Energy above the most stable polymorph in this dataset: 184 meV/atom

a = 5.486 Å, b = 5.486 Å, c = 5.486 Å
α = 60.00°, β = 60.00°, γ = 60.00°
Positions (direct):
1 Pr 0.250 0.250 0.250
2 Pr 0.750 0.750 0.750
3 Dy 0.000 0.000 0.000
4 Zn 0.500 0.500 0.500



(15)
VASP calculation (PBE) on an optimized crystal structure of Pr2Dy2Zn.

Summary:
SG: I4/mmm (139)
Energy of formation from the pure elements: -0.127 eV/atom

a = 11.704 Å, b = 11.704 Å, c = 11.704 Å
α = 162.23°, β = 162.23°, γ = 25.24°
Positions (direct):
1 Pr 0.191 0.191 0.000
2 Pr 0.809 0.809 0.000
3 Dy 0.424 0.424 0.000
4 Dy 0.576 0.576 0.000
5 Zn 0.000 0.000 0.000



(16)
VASP calculation (PBE) on an optimized crystal structure of Pr2DyZn.

Summary:
SG: P4/mmm (123)
Energy of formation from the pure elements: -0.133 eV/atom
Energy above the most stable polymorph in this dataset: 20 meV/atom

a = 3.691 Å, b = 3.691 Å, c = 8.783 Å
α = 90.00°, β = 90.00°, γ = 90.00°
Positions (direct):
1 Pr 0.000 0.000 0.212
2 Pr 0.000 0.000 0.788
3 Dy 0.500 0.500 0.500
4 Zn 0.500 0.500 0.000



(17)
VASP calculation (PBE) on an optimized crystal structure of Pr2DyZr.

Summary:
SG: P4/mmm (123)
Energy of formation from the pure elements: 0.136 eV/atom
Energy above the most stable polymorph in this dataset: 0 meV/atom

a = 5.006 Å, b = 5.006 Å, c = 4.924 Å
α = 90.00°, β = 90.00°, γ = 90.00°
Positions (direct):
1 Pr 0.000 0.500 0.000
2 Pr 0.500 0.000 0.000
3 Dy 0.000 0.000 0.500
4 Zr 0.500 0.500 0.500



(18)
VASP calculation (PBE) on an optimized crystal structure of Pr2Dy12Zr.

Summary:
SG: Cmme (67)
Energy of formation from the pure elements: 0.180 eV/atom

a = 6.642 Å, b = 6.642 Å, c = 24.554 Å
α = 90.00°, β = 90.00°, γ = 116.21°
Positions (direct):
1 Pr 0.250 0.750 0.238
2 Pr 0.250 0.750 0.768
3 Pr 0.750 0.250 0.232
4 Pr 0.750 0.250 0.762
5 Dy 0.000 0.000 0.430
6 Dy 0.000 0.000 0.570
7 Dy 0.001 0.501 0.617
8 Dy 0.012 0.512 0.085
9 Dy 0.015 0.985 0.938
10 Dy 0.250 0.250 0.175
11 Dy 0.250 0.250 0.305
12 Dy 0.250 0.250 0.695
13 Dy 0.250 0.250 0.825
14 Dy 0.485 0.515 0.938
15 Dy 0.488 0.988 0.085
16 Dy 0.499 0.999 0.617
17 Dy 0.500 0.500 0.430
18 Dy 0.500 0.500 0.570
19 Dy 0.501 0.001 0.383
20 Dy 0.512 0.012 0.915
21 Dy 0.515 0.485 0.062
22 Dy 0.750 0.750 0.175
23 Dy 0.750 0.750 0.305
24 Dy 0.750 0.750 0.695
25 Dy 0.750 0.750 0.825
26 Dy 0.985 0.015 0.062
27 Dy 0.988 0.488 0.915
28 Dy 0.999 0.499 0.383
29 Zr 0.250 0.750 0.500
30 Zr 0.750 0.250 0.500



(19)
VASP calculation (PBE) on an optimized crystal structure of Pr3Dy12Zr.

Summary:
SG: P4/mmm (123)
Energy of formation from the pure elements: 0.039 eV/atom

a = 5.018 Å, b = 5.018 Å, c = 20.096 Å
α = 90.00°, β = 90.00°, γ = 90.00°
Positions (direct):
1 Pr 0.000 0.000 0.000
2 Pr 0.000 0.000 0.253
3 Pr 0.000 0.000 0.747
4 Dy 0.000 0.500 0.128
5 Dy 0.000 0.500 0.385
6 Dy 0.000 0.500 0.615
7 Dy 0.000 0.500 0.872
8 Dy 0.500 0.000 0.128
9 Dy 0.500 0.000 0.385
10 Dy 0.500 0.000 0.615
11 Dy 0.500 0.000 0.872
12 Dy 0.500 0.500 0.000
13 Dy 0.500 0.500 0.255
14 Dy 0.500 0.500 0.500
15 Dy 0.500 0.500 0.745
16 Zr 0.000 0.000 0.500



(20)
VASP calculation (PBE) on an optimized crystal structure of Pr2DyZr.

Summary:
SG: P4/mmm (123)
Energy of formation from the pure elements: 0.176 eV/atom
Energy above the most stable polymorph in this dataset: 40 meV/atom

a = 4.100 Å, b = 4.100 Å, c = 7.373 Å
α = 90.00°, β = 90.00°, γ = 90.00°
Positions (direct):
1 Pr 0.000 0.000 0.226
2 Pr 0.000 0.000 0.774
3 Dy 0.500 0.500 0.500
4 Zr 0.500 0.500 0.000



(21)
VASP calculation (PBE) on an optimized crystal structure of Pr2DyZr.

Summary:
SG: R-3m (166)
Energy of formation from the pure elements: 0.322 eV/atom
Energy above the most stable polymorph in this dataset: 186 meV/atom

a = 12.399 Å, b = 12.399 Å, c = 12.399 Å
α = 15.92°, β = 15.92°, γ = 15.92°
Positions (direct):
1 Pr 0.085 0.085 0.085
2 Pr 0.915 0.915 0.915
3 Dy 0.500 0.500 0.500
4 Zr 0.000 0.000 0.000



(22)
VASP calculation (PBE) on an optimized crystal structure of Pr2DyZr.

Summary:
SG: R3m (160)
Energy of formation from the pure elements: 0.141 eV/atom
Energy above the most stable polymorph in this dataset: 5 meV/atom

a = 11.671 Å, b = 11.671 Å, c = 11.671 Å
α = 17.43°, β = 17.43°, γ = 17.43°
Positions (direct):
1 Pr 0.000 0.000 0.000
2 Pr 0.158 0.158 0.158
3 Dy 0.580 0.580 0.580
4 Zr 0.413 0.413 0.413



(23)
VASP calculation (PBE) on an optimized crystal structure of Pr2DyZr.

Summary:
SG: Fm-3m (225)
Energy of formation from the pure elements: 0.220 eV/atom
Energy above the most stable polymorph in this dataset: 83 meV/atom

a = 5.572 Å, b = 5.572 Å, c = 5.572 Å
α = 60.00°, β = 60.00°, γ = 60.00°
Positions (direct):
1 Pr 0.250 0.250 0.250
2 Pr 0.750 0.750 0.750
3 Dy 0.000 0.000 0.000
4 Zr 0.500 0.500 0.500